Entry 1:
DFT (PBE) results for a relaxed structure of LaTmAlSn.

a b c (Å): 7.5496 7.5496 7.5496
angles (deg): 90.00 90.00 90.00
Closest atoms and distances in Å follow each position.
Space group F-43m (No. 216)
Inequivalent atoms, fractional coordinates:
La  0.0000  0.0000  0.0000 [4 per cell]  4 Sn 3.27, 4 Al 3.27
Tm  0.0000  0.0000  0.5000 [4 per cell]  4 Al 3.27, 4 Sn 3.27
Al  0.2500  0.2500  0.2500 [4 per cell]  4 La 3.27, 4 Tm 3.27
Sn  0.2500  0.2500  0.7500 [4 per cell]  4 La 3.27, 4 Tm 3.27

Magnetic moment (Bohr magnetons per cell): 0.00
Electronic total energy (eV/atom): -4.7345
Formation energy (meV/atom): -448
Density of states at the Fermi level (states/eV/atom): 0.899


Entry 2:
DFT (PBE) results for a relaxed structure of Sm3InO6.

a b c (Å): 9.2012 11.5385 5.7193
angles (deg): 90.00 90.00 90.00
Closest atoms and distances in Å follow each position.
Space group Cmc2_1 (No. 36)
Inequivalent atoms, fractional coordinates:
Sm  0.0000  0.1011  0.0000 [4 per cell]  7 O 2.37-2.52
Sm  0.1953  0.3942  0.0514 [8 per cell]  5 O 2.31-2.46
In  0.0000  0.3141  0.5696 [4 per cell]  4 O 2.05-2.11
O  0.0000  0.2812  0.2173 [4 per cell]  1 In 2.05
O  0.0000  0.4725  0.7542 [4 per cell]  1 In 2.11
O  0.1600  0.0165  0.2757 [8 per cell]  4 Sm 2.31-2.38
O  0.1635  0.2343  0.7700 [8 per cell]  1 In 2.10, 1 Sm 2.33

Magnetic moment (Bohr magnetons per cell): 0.00
Energy above the lowest structure with this stoichiometry (meV/atom): 33
Formation energy from raw total energies (meV/atom): -2943
Electronic total energy (eV/atom): -7.6071
Density of states at the Fermi level (states/eV/atom): 0.000


Entry 3:
DFT (PBE) results for a relaxed structure of KZn6Au2.

a b c (Å): 12.6365 6.9896 4.4320
angles (deg): 90.00 109.77 90.00
Closest atoms and distances in Å follow each position.
Space group C2/m (No. 12)
Inequivalent atoms, fractional coordinates:
K  0.0000  0.0000  0.0000 [2 per cell]  4 Zn 3.17
Zn  0.0000  0.3250  0.5000 [4 per cell]  3 Zn 2.45-2.48
Zn  0.2070  0.2880  0.7088 [8 per cell]  3 Zn 2.48-2.50, 1 Au 2.73
Au  0.1375  0.5000  0.1382 [4 per cell]  10 Zn 2.73-3.03

Magnetic moment (Bohr magnetons per cell): 0.00
Electronic total energy (eV/atom): -1.7221
Formation energy (meV/atom): -23
Density of states at the Fermi level (states/eV/atom): 0.230


Entry 4:
DFT (PBE) results for a relaxed structure of AcPaBi6.

a b c (Å): 4.5625 4.5435 26.4404
angles (deg): 90.00 90.00 90.00
Closest atoms and distances in Å follow each position.
Space group Amm2 (No. 38)
Inequivalent atoms, fractional coordinates:
Ac  0.0000  0.0000  0.0000 [2 per cell]  7 Bi 3.40-3.72
Pa  0.5000  0.0000  0.3414 [2 per cell]  9 Bi 3.10-3.43
Bi  0.0000  0.0000  0.2445 [2 per cell]  4 Bi 3.22, 2 Pa 3.43
Bi  0.0000  0.0000  0.6000 [2 per cell]  4 Bi 3.29, 2 Ac 3.49
Bi  0.0000  0.0000  0.8592 [2 per cell]  4 Pa 3.25
Bi  0.5000  0.0000  0.1265 [2 per cell]  4 Bi 3.29
Bi  0.5000  0.0000  0.4586 [2 per cell]  1 Pa 3.10, 4 Ac 3.40
Bi  0.5000  0.0000  0.7470 [2 per cell]  4 Bi 3.22, 2 Pa 3.37

Magnetic moment (Bohr magnetons per cell): 0.00
Electronic total energy (eV/atom): -4.8369
Formation energy (meV/atom): -226
Density of states at the Fermi level (states/eV/atom): 0.813


Entry 5:
DFT (PBE) results for a relaxed structure of Na2CoNiP.

a b c (Å): 5.3233 5.3233 4.0754
angles (deg): 90.00 90.00 90.00
Closest atoms and distances in Å follow each position.
Space group P4/mmm (No. 123)
Inequivalent atoms, fractional coordinates:
Na  0.0000  0.5000  0.0000 [2 per cell]  2 Ni 2.66
Co  0.0000  0.0000  0.5000 [1 per cell]  8 Na 3.35
Ni  0.5000  0.5000  0.0000 [1 per cell]  2 P 2.04
P  0.5000  0.5000  0.5000 [1 per cell]  2 Ni 2.04

Magnetic moment (Bohr magnetons per cell): 2.12
Electronic total energy (eV/atom): -3.6172
Formation energy (meV/atom): 570
Density of states at the Fermi level (states/eV/atom): 2.098


Entry 6:
DFT (PBE) results for a relaxed structure of TiV3P.

a b c (Å): 8.1466 3.2064 10.7582
angles (deg): 90.00 90.00 90.00
Closest atoms and distances in Å follow each position.
Space group Pnma (No. 62)
Inequivalent atoms, fractional coordinates:
Ti  0.1599  0.2500  0.0120 [4 per cell]  2 P 2.53
V  0.0545  0.2500  0.4146 [4 per cell]  3 P 2.37-2.42, 4 V 2.58-2.60
V  0.0876  0.7500  0.2284 [4 per cell]  2 P 2.38-2.50, 4 V 2.58
V  0.1595  0.7500  0.7911 [4 per cell]  2 P 2.39, 2 V 2.58
P  0.1532  0.2500  0.6269 [4 per cell]  7 V 2.37-2.50, 2 Ti 2.53

Magnetic moment (Bohr magnetons per cell): 0.00
Energy above the lowest structure with this stoichiometry (meV/atom): 0
Electronic total energy (eV/atom): -8.6606
Formation energy (meV/atom): -529
Density of states at the Fermi level (states/eV/atom): 0.881


Entry 7:
DFT (PBE) results for a relaxed structure of Na2Cd2Bi.

a b c (Å): 5.0549 15.1325 3.5522
angles (deg): 90.00 90.00 90.00
Closest atoms and distances in Å follow each position.
Space group Cmmm (No. 65)
Inequivalent atoms, fractional coordinates:
Na  0.0000  0.1079  0.0000 [4 per cell]  3 Na 3.27-3.55, 6 Cd 3.36-3.41, 4 Bi 3.49
Cd  0.0000  0.2964  0.5000 [4 per cell]  2 Cd 2.89, 1 Bi 3.08
Bi  0.0000  0.5000  0.5000 [2 per cell]  2 Cd 3.08

Magnetic moment (Bohr magnetons per cell): 0.00
Energy above the lowest structure with this stoichiometry (meV/atom): 0
Electronic total energy (eV/atom): -1.8661
Formation energy (meV/atom): -196
Density of states at the Fermi level (states/eV/atom): 0.266


Entry 8:
DFT (PBE) results for a relaxed structure of CdPtAu2.

a b c (Å): 3.0607 3.0607 7.6550
angles (deg): 90.00 90.00 90.00
Closest atoms and distances in Å follow each position.
Space group P4/mmm (No. 123)
Inequivalent atoms, fractional coordinates:
Cd  0.0000  0.0000  0.0000 [1 per cell]  8 Au 2.93, 4 Cd 3.06
Pt  0.0000  0.0000  0.5000 [1 per cell]  8 Au 2.84, 4 Pt 3.06
Au  0.5000  0.5000  0.2589 [2 per cell]  4 Pt 2.84, 4 Cd 2.93, 4 Au 3.06

Magnetic moment (Bohr magnetons per cell): 0.00
Electronic total energy (eV/atom): -3.4361
Formation energy (meV/atom): -58
Density of states at the Fermi level (states/eV/atom): 0.276


Entry 9:
DFT (PBE) results for a relaxed structure of AlCdTe2.

a b c (Å): 7.4827 7.4827 7.4827
angles (deg): 90.00 90.00 90.00
Closest atoms and distances in Å follow each position.
Space group F-43m (No. 216)
Inequivalent atoms, fractional coordinates:
Al  0.0000  0.0000  0.0000 [4 per cell]  4 Cd 3.24, 4 Te 3.24
Cd  0.2500  0.2500  0.7500 [4 per cell]  4 Te 3.24, 4 Al 3.24
Te  0.0000  0.0000  0.5000 [4 per cell]  4 Cd 3.24, 4 Te 3.24
Te  0.2500  0.2500  0.2500 [4 per cell]  4 Te 3.24, 4 Al 3.24

Magnetic moment (Bohr magnetons per cell): 0.00
Energy above the lowest structure with this stoichiometry (meV/atom): 566
Formation energy from raw total energies (meV/atom): 266
Electronic total energy (eV/atom): -2.4697
Density of states at the Fermi level (states/eV/atom): 0.707


Entry 10:
DFT (PBE) results for a relaxed structure of RbGaTe3Pb.

a b c (Å): 10.1336 4.6020 10.8299
angles (deg): 90.00 108.12 90.00
Closest atoms and distances in Å follow each position.
Space group P2_1/m (No. 11)
Inequivalent atoms, fractional coordinates:
Rb  0.2271  0.2500  0.2418 [2 per cell]  5 Te 3.66-3.86
Ga  0.0778  0.2500  0.6289 [2 per cell]  4 Te 2.56-2.80
Te  0.0827  0.2500  0.8671 [2 per cell]  1 Ga 2.56
Te  0.1835  0.7500  0.5469 [2 per cell]  3 Ga 2.74-2.80
Te  0.4810  0.7500  0.1820 [2 per cell]  3 Pb 3.06-3.20
Pb  0.3354  0.7500  0.8885 [2 per cell]  5 Te 3.06-3.40

Magnetic moment (Bohr magnetons per cell): 0.00
Formation energy from raw total energies (meV/atom): -541
Electronic total energy (eV/atom): -3.3957
Density of states at the Fermi level (states/eV/atom): 0.376


Entry 11:
DFT (PBE) results for a relaxed structure of CdAg2SnHg.

a b c (Å): 5.2499 5.2499 5.2520
angles (deg): 90.00 90.00 90.00
Closest atoms and distances in Å follow each position.
Space group P4/mmm (No. 123)
Inequivalent atoms, fractional coordinates:
Cd  0.0000  0.0000  0.0000 [1 per cell]  2 Hg 2.63
Ag  0.0000  0.5000  0.5000 [2 per cell]  2 Hg 2.62
Sn  0.5000  0.5000  0.0000 [1 per cell]  4 Cd 3.71, 8 Ag 3.71
Hg  0.0000  0.0000  0.5000 [1 per cell]  4 Ag 2.62, 2 Cd 2.63

Magnetic moment (Bohr magnetons per cell): 0.00
Electronic total energy (eV/atom): -1.6595
Formation energy (meV/atom): 525
Density of states at the Fermi level (states/eV/atom): 0.403


Entry 12:
DFT (PBE) results for a relaxed structure of TaTcHg2.

a b c (Å): 6.6252 6.6252 6.6252
angles (deg): 90.00 90.00 90.00
Closest atoms and distances in Å follow each position.
Space group Fm-3m (No. 225)
Inequivalent atoms, fractional coordinates:
Ta  0.0000  0.0000  0.0000 [4 per cell]  8 Hg 2.87
Tc  0.0000  0.0000  0.5000 [4 per cell]  8 Hg 2.87
Hg  0.2500  0.2500  0.2500 [8 per cell]  4 Ta 2.87, 4 Tc 2.87

Magnetic moment (Bohr magnetons per cell): 3.15
Energy above the lowest structure with this stoichiometry (meV/atom): 456
Electronic total energy (eV/atom): -5.0229
Formation energy (meV/atom): 683
Density of states at the Fermi level (states/eV/atom): 0.675


What did the ninth record say?
DFT (PBE) results for a relaxed structure of AlCdTe2.

a b c (Å): 7.4827 7.4827 7.4827
angles (deg): 90.00 90.00 90.00
Closest atoms and distances in Å follow each position.
Space group F-43m (No. 216)
Inequivalent atoms, fractional coordinates:
Al  0.0000  0.0000  0.0000 [4 per cell]  4 Cd 3.24, 4 Te 3.24
Cd  0.2500  0.2500  0.7500 [4 per cell]  4 Te 3.24, 4 Al 3.24
Te  0.0000  0.0000  0.5000 [4 per cell]  4 Cd 3.24, 4 Te 3.24
Te  0.2500  0.2500  0.2500 [4 per cell]  4 Te 3.24, 4 Al 3.24

Magnetic moment (Bohr magnetons per cell): 0.00
Energy above the lowest structure with this stoichiometry (meV/atom): 566
Formation energy from raw total energies (meV/atom): 266
Electronic total energy (eV/atom): -2.4697
Density of states at the Fermi level (states/eV/atom): 0.707